{
  "formula": "Zr2PaTe",
  "functional": "GGA-PBE",
  "state": "relaxed",
  "lattice": [[1.7527, 1.0119, 9.4440], [-1.7527, 1.0119, 9.4440], [0.0000, -2.0239, 9.4440]],
  "species": ["Zr", "Zr", "Pa", "Te"],
  "fractional_positions": [[0.2432, 0.2432, 0.2432], [0.7568, 0.7568, 0.7568], [0.0000, 0.0000, 0.0000], [0.5000, 0.5000, 0.5000]],
  "spacegroup": "R-3m (166)",
  "e_above_lowest_polymorph_ev_per_fu": 0.00,
  "raw_formation_energy_ev_per_atom": -0.16,
  "magmom_total_mub_per_fu": 0.0
}